Record 1
# ZrTe2Cl

A relaxed ZrTe2Cl crystal (GGA-PBE, Alexandria via LeMat-Bulk).

Cell and atoms, written as POSCAR:
```
ZrTe2Cl
1.0
2.824 -4.546 0.000
2.824 4.546 0.000
0.000 0.000 3.942
Zr Te Cl
1 2 1
direct
0.000 0.000 0.000
0.000 0.500 0.500
0.500 0.000 0.500
0.500 0.500 0.000
```

Output
Calculated volume   25.296 Å³ per atom
Energy relative to the lowest polymorph listed for this composition   492 meV/atom
Mass density   6.27 g/cm³
E   -4.523 eV/atom

***

Record 2
# Ca2VGaN4

A relaxed Ca2VGaN4 crystal (GGA-PBE, Alexandria via LeMat-Bulk).

Cell and atoms, written as POSCAR:
```
Ca2VGaN4
1.0
6.771 0.000 0.000
0.000 6.249 0.000
0.000 0.000 5.473
Ca V Ga N
4 2 2 8
direct
0.250 0.191 0.000
0.250 0.809 0.500
0.750 0.191 0.000
0.750 0.809 0.500
0.000 0.338 0.516
0.500 0.662 0.016
0.000 0.665 0.012
0.500 0.335 0.512
0.000 0.396 0.836
0.000 0.587 0.358
0.237 0.188 0.453
0.263 0.812 0.953
0.500 0.413 0.858
0.500 0.604 0.336
0.737 0.812 0.953
0.763 0.188 0.453
```

Output
Calculated volume   14.473 Å³ per atom
Mass density   3.68 g/cm³
E   -7.061 eV/atom

***

Record 3
# SrZr2I

A relaxed SrZr2I crystal (GGA-PBE, Alexandria via LeMat-Bulk).

Cell and atoms, written as POSCAR:
```
SrZr2I
1.0
0.000 3.774 3.774
3.774 0.000 3.774
3.774 3.774 0.000
Sr Zr I
1 2 1
direct
0.000 0.000 0.000
0.250 0.250 0.250
0.750 0.750 0.750
0.500 0.500 0.500
```

Output
Calculated volume   26.881 Å³ per atom
Energy relative to the lowest polymorph listed for this composition   438 meV/atom
Mass density   6.13 g/cm³
E   -4.349 eV/atom

***

Record 4
# CoSbTe2Pb

A relaxed CoSbTe2Pb crystal (GGA-PBE, Alexandria via LeMat-Bulk).

Cell and atoms, written as POSCAR:
```
CoSbTe2Pb
1.0
5.397 0.000 0.000
0.000 5.397 0.000
0.000 0.000 4.691
Co Sb Te Pb
1 1 2 1
direct
0.000 0.000 0.000
0.000 0.000 0.500
0.000 0.500 0.000
0.500 0.000 0.000
0.500 0.500 0.500
```

Output
Calculated volume   27.325 Å³ per atom
Energy relative to the lowest polymorph listed for this composition   0 meV/atom
Mass density   7.82 g/cm³
E   -4.051 eV/atom

***

Record 5
# Pu3UN4

A relaxed Pu3UN4 crystal (GGA-PBE, Alexandria via LeMat-Bulk).

Cell and atoms, written as POSCAR:
```
Pu3UN4
1.0
6.012 0.000 0.000
0.000 6.959 0.000
-2.003 0.000 5.672
Pu U N
6 2 8
direct
0.000 0.124 0.250
0.000 0.375 0.750
0.000 0.625 0.250
0.000 0.876 0.750
0.500 0.125 0.750
0.500 0.875 0.250
0.500 0.373 0.250
0.500 0.627 0.750
0.256 0.131 0.008
0.256 0.869 0.508
0.265 0.382 0.499
0.265 0.618 0.999
0.735 0.382 0.001
0.735 0.618 0.501
0.744 0.131 0.492
0.744 0.869 0.992
```

Output
Calculated volume   14.831 Å³ per atom
Energy relative to the lowest polymorph listed for this composition   0 meV/atom
Mass density   14.36 g/cm³
E   -12.218 eV/atom

***

Record 6
# BaAlGa4Ag2

A relaxed BaAlGa4Ag2 crystal (GGA-PBE, Alexandria via LeMat-Bulk).

Cell and atoms, written as POSCAR:
```
BaAlGa4Ag2
1.0
2.301 1.328 9.699
-2.301 1.328 9.699
0.000 -2.657 9.699
Ba Al Ga Ag
1 1 4 2
direct
0.000 0.000 0.000
0.500 0.500 0.500
0.129 0.129 0.129
0.407 0.407 0.407
0.593 0.593 0.593
0.871 0.871 0.871
0.234 0.234 0.234
0.766 0.766 0.766
```

Output
Calculated volume   22.235 Å³ per atom
Mass density   6.15 g/cm³
E   -3.088 eV/atom
Formation enthalpy at 0 K   -0.153 eV/atom

***

Record 7
# SrLiMg2Pb2

A relaxed SrLiMg2Pb2 crystal (GGA-PBE, Alexandria via LeMat-Bulk).

Cell and atoms, written as POSCAR:
```
SrLiMg2Pb2
1.0
4.927 0.000 0.000
-2.464 4.267 0.000
0.000 0.000 7.842
Sr Li Mg Pb
1 1 2 2
direct
0.000 0.000 0.000
0.000 0.000 0.500
0.333 0.667 0.644
0.667 0.333 0.356
0.333 0.667 0.249
0.667 0.333 0.751
```

Output
Calculated volume   27.481 Å³ per atom
Mass density   5.62 g/cm³
E   -2.694 eV/atom
Formation enthalpy at 0 K   -0.327 eV/atom

***

Record 8
# ScCuReMo

A relaxed ScCuReMo crystal (GGA-PBE, Alexandria via LeMat-Bulk).

Cell and atoms, written as POSCAR:
```
ScCuReMo
1.0
0.000 3.159 3.159
3.159 0.000 3.159
3.159 3.159 0.000
Sc Cu Re Mo
1 1 1 1
direct
0.000 0.000 0.000
0.750 0.750 0.750
0.250 0.250 0.250
0.500 0.500 0.500
```

Output
Calculated volume   15.757 Å³ per atom
Mass density   10.29 g/cm³
E   -8.421 eV/atom
Formation enthalpy at 0 K   0.005 eV/atom

***

Record 9
# Ca3Cd2Ag3

A relaxed Ca3Cd2Ag3 crystal (GGA-PBE, Alexandria via LeMat-Bulk).

Cell and atoms, written as POSCAR:
```
Ca3Cd2Ag3
1.0
8.861 0.000 0.000
-4.431 7.674 0.000
0.000 0.000 5.958
Ca Cd Ag
6 4 6
direct
0.000 0.268 0.250
0.000 0.732 0.750
0.268 0.000 0.250
0.268 0.268 0.750
0.732 0.000 0.750
0.732 0.732 0.250
0.333 0.667 0.000
0.333 0.667 0.500
0.667 0.333 0.000
0.667 0.333 0.500
0.000 0.396 0.750
0.000 0.604 0.250
0.396 0.000 0.750
0.396 0.396 0.250
0.604 0.000 0.250
0.604 0.604 0.750
```

Output
Calculated volume   25.322 Å³ per atom
Mass density   5.48 g/cm³
E   -2.315 eV/atom
Formation enthalpy at 0 K   -0.267 eV/atom

***

Record 10
# TbZnCuIr

A relaxed TbZnCuIr crystal (GGA-PBE, Alexandria via LeMat-Bulk).

Cell and atoms, written as POSCAR:
```
TbZnCuIr
1.0
0.000 3.263 3.263
3.263 0.000 3.263
3.263 3.263 0.000
Tb Zn Cu Ir
1 1 1 1
direct
0.000 0.000 0.000
0.500 0.500 0.500
0.250 0.250 0.250
0.750 0.750 0.750
```

Output
Calculated volume   17.364 Å³ per atom
Mass density   11.48 g/cm³
E   -5.022 eV/atom
Formation enthalpy at 0 K   -0.307 eV/atom

***

Record 11
# Sr2LiZnGa2

A relaxed Sr2LiZnGa2 crystal (GGA-PBE, Alexandria via LeMat-Bulk).

Cell and atoms, written as POSCAR:
```
Sr2LiZnGa2
1.0
-3.271 7.226 3.271
3.271 -7.226 3.271
3.271 7.226 -3.271
Sr Li Zn Ga
4 2 2 4
direct
0.164 0.247 0.411
0.336 0.747 0.084
0.664 0.253 0.916
0.836 0.753 0.589
0.250 0.250 0.000
0.750 0.750 0.000
0.250 0.750 0.500
0.750 0.250 0.500
0.096 0.738 0.833
0.404 0.238 0.642
0.596 0.762 0.358
0.904 0.262 0.167
```

Output
Calculated volume   25.766 Å³ per atom
Mass density   4.16 g/cm³
E   -2.427 eV/atom
Formation enthalpy at 0 K   -0.326 eV/atom

***

Record 12
# PmInSi2Rh5

A relaxed PmInSi2Rh5 crystal (GGA-PBE, Alexandria via LeMat-Bulk).

Cell and atoms, written as POSCAR:
```
PmInSi2Rh5
1.0
4.557 0.000 0.000
0.000 4.557 0.000
0.000 0.000 7.331
Pm In Si Rh
1 1 2 5
direct
0.000 0.000 0.000
0.000 0.000 0.500
0.500 0.500 0.329
0.500 0.500 0.671
0.000 0.500 0.276
0.000 0.500 0.724
0.500 0.000 0.276
0.500 0.000 0.724
0.500 0.500 0.000
```

Output
Calculated volume   16.917 Å³ per atom
Mass density   9.06 g/cm³
E   -6.663 eV/atom